Entry from the Alexandria database: crystalline BaAsOs2 at its relaxed geometry (PBE).

Cell: 6.0551 6.0551 6.0551 Å, 151.26 122.90 65.17°
Sites, in units of the cell vectors:
Ba 0.0000 0.0000 0.0000
As 0.7153 0.2153 0.5000
Os 0.3196 0.8196 0.5000
Os 0.5185 0.5185 0.0000

Properties
The calculated volume is 22.2 Å³/atom. For the formation energy, the calculation gives 0.79 eV/atom. As for the symmetry: Imm2, No. 44.

=====

Entry from the Alexandria database: crystalline HfTl2SiW at its relaxed geometry (PBE).

Cell: 4.9852 4.9852 5.0769 Å, 90.00 90.00 90.00°
Sites, in units of the cell vectors:
Hf 0.0000 0.0000 0.0000
Tl 0.0000 0.5000 0.5000
Tl 0.5000 0.0000 0.5000
Si 0.0000 0.0000 0.5000
W 0.5000 0.5000 0.0000

Properties
The electronic total energy is -0.187 hartree per atom. The calculated volume is 25.2 Å³/atom. As for the symmetry: P4/mmm, No. 123.

=====

Entry from the Alexandria database: crystalline LaAl2Ag8 at its relaxed geometry (PBE).

Cell: 5.6393 5.6393 8.5640 Å, 90.00 90.00 90.00°
Sites, in units of the cell vectors:
La 0.0000 0.0000 0.0000
Al 0.0000 0.5000 0.5000
Al 0.5000 0.0000 0.5000
Ag 0.2529 0.2529 0.2917
Ag 0.2529 0.2529 0.7083
Ag 0.2529 0.7471 0.2917
Ag 0.2529 0.7471 0.7083
Ag 0.7471 0.2529 0.2917
Ag 0.7471 0.2529 0.7083
Ag 0.7471 0.7471 0.2917
Ag 0.7471 0.7471 0.7083

Properties
The calculated volume is 24.8 Å³/atom. For the formation energy, the calculation gives 0.23 eV/atom. As for the symmetry: P4/mmm, No. 123.

=====

Entry from the Alexandria database: crystalline Ac12In2Sn5 at its relaxed geometry (PBE).

Cell: 10.4461 10.4461 10.7670 Å, 102.80 102.80 45.29°
Sites, in units of the cell vectors:
Ac 0.0072 0.0072 0.2892
Ac 0.0690 0.5834 0.9005
Ac 0.1052 0.5949 0.4309
Ac 0.4051 0.8948 0.5691
Ac 0.4166 0.9310 0.0995
Ac 0.4715 0.4715 0.1819
Ac 0.5285 0.5285 0.8181
Ac 0.5834 0.0690 0.9005
Ac 0.5949 0.1052 0.4309
Ac 0.8948 0.4051 0.5691
Ac 0.9310 0.4166 0.0995
Ac 0.9928 0.9928 0.7108
In 0.1792 0.8208 0.0000
In 0.8208 0.1792 0.0000
Sn 0.1764 0.1764 0.8295
Sn 0.2001 0.2001 0.3617
Sn 0.5000 0.5000 0.5000
Sn 0.7999 0.7999 0.6383
Sn 0.8236 0.8236 0.1705

Properties
The calculated volume is 42.7 Å³/atom. For the formation energy, the calculation gives -0.32 eV/atom. As for the symmetry: C2/m, No. 12.

=====

Entry from the Alexandria database: crystalline SrNd3Te6 at its relaxed geometry (PBE).

Cell: 12.8546 4.5300 13.3598 Å, 90.00 109.35 90.00°
Sites, in units of the cell vectors:
Sr 0.0472 0.2500 0.1953
Sr 0.9528 0.7500 0.8047
Nd 0.1556 0.2500 0.5815
Nd 0.3182 0.7500 0.0018
Nd 0.4379 0.2500 0.3335
Nd 0.5621 0.7500 0.6665
Nd 0.6818 0.2500 0.9982
Nd 0.8444 0.7500 0.4185
Te 0.0857 0.7500 0.4054
Te 0.1250 0.2500 0.9648
Te 0.2037 0.7500 0.7521
Te 0.2633 0.7500 0.2264
Te 0.3900 0.2500 0.5544
Te 0.4891 0.2500 0.1195
Te 0.5109 0.7500 0.8805
Te 0.6100 0.7500 0.4456
Te 0.7367 0.2500 0.7736
Te 0.7963 0.2500 0.2479
Te 0.8750 0.7500 0.0352
Te 0.9143 0.2500 0.5946

Properties
The electronic total energy is -0.178 hartree per atom. The calculated volume is 36.7 Å³/atom. As for the symmetry: P2_1/m, No. 11.

=====

Entry from the Alexandria database: crystalline Sb4Pt at its relaxed geometry (PBE).

Cell: 5.2766 5.2766 5.2766 Å, 90.00 90.00 90.00°
Sites, in units of the cell vectors:
Sb 0.0000 0.0000 0.0000
Sb 0.0000 0.5000 0.5000
Sb 0.5000 0.0000 0.5000
Sb 0.5000 0.5000 0.0000
Pt 0.5000 0.5000 0.5000

Properties
As for the energy above the lowest structure with this stoichiometry: 351 meV per atom. The calculated volume is 29.4 Å³/atom. As for the symmetry: Pm-3m, No. 221.

=====

Entry from the Alexandria database: crystalline KZnAg2 at its relaxed geometry (PBE).

Cell: 3.1703 4.6434 6.9011 Å, 90.00 103.23 90.00°
Sites, in units of the cell vectors:
K 0.0000 0.0000 0.0000
Zn 0.6536 0.5000 0.3087
Ag 0.3176 0.5000 0.6390
Ag 0.7520 0.0000 0.5084

Properties
The calculated volume is 24.7 Å³/atom. For the formation energy, the calculation gives 0.11 eV/atom. As for the symmetry: Pm, No. 6.

=====

Entry from the Alexandria database: crystalline Ac2CeGa4Pt3 at its relaxed geometry (PBE).

Cell: 4.4126 4.4126 11.6588 Å, 90.00 90.00 90.00°
Sites, in units of the cell vectors:
Ac 0.0000 0.5000 0.2289
Ac 0.5000 0.0000 0.7711
Ce 0.0000 0.0000 0.5000
Ga 0.0000 0.0000 0.0000
Ga 0.0000 0.5000 0.6668
Ga 0.5000 0.0000 0.3332
Ga 0.5000 0.5000 0.0000
Pt 0.0000 0.5000 0.8828
Pt 0.5000 0.0000 0.1172
Pt 0.5000 0.5000 0.5000

Properties
The calculated volume is 22.7 Å³/atom. For the formation energy, the calculation gives -0.82 eV/atom. As for the symmetry: P-4m2, No. 115.

=====

Entry from the Alexandria database: crystalline ReMo2W6 at its relaxed geometry (PBE).

Cell: 4.4814 5.2712 6.9011 Å, 110.23 108.79 90.02°
Sites, in units of the cell vectors:
Re 0.0000 0.0000 0.0000
Mo 0.1112 0.5565 0.2222
Mo 0.8888 0.4435 0.7778
W 0.2221 0.1111 0.4444
W 0.3335 0.6665 0.6673
W 0.4449 0.2225 0.8895
W 0.5551 0.7775 0.1105
W 0.6665 0.3335 0.3327
W 0.7779 0.8889 0.5556

Properties
As for the energy above the lowest structure with this stoichiometry: 0 meV per atom. The calculated volume is 16.0 Å³/atom. For the formation energy, the calculation gives 0.01 eV/atom. As for the symmetry: P-1, No. 2.

=====

Entry from the Alexandria database: crystalline CdSbMo2 at its relaxed geometry (PBE).

Cell: 5.3015 5.3015 4.9654 Å, 109.28 109.28 35.90°
Sites, in units of the cell vectors:
Cd 0.0000 0.0000 0.0000
Sb 0.7802 0.7802 0.3358
Mo 0.2386 0.2386 0.8058
Mo 0.5464 0.5464 0.5394

Properties
As for the energy above the lowest structure with this stoichiometry: 183 meV per atom. The calculated volume is 19.2 Å³/atom. As for the symmetry: Cm, No. 8.

=====

Entry from the Alexandria database: crystalline Si2SbCl at its relaxed geometry (PBE).

Cell: 4.8020 4.8020 4.8020 Å, 60.00 60.00 60.00°
Sites, in units of the cell vectors:
Si 0.0000 0.0000 0.0000
Si 0.2500 0.2500 0.2500
Sb 0.5000 0.5000 0.5000
Cl 0.7500 0.7500 0.7500

Properties
As for the energy above the lowest structure with this stoichiometry: 528 meV per atom. The calculated volume is 19.6 Å³/atom. As for the symmetry: F-43m, No. 216.

=====

Entry from the Alexandria database: crystalline LaOsRuRh2 at its relaxed geometry (PBE).

Cell: 4.6871 4.6871 5.4488 Å, 90.00 90.00 90.00°
Sites, in units of the cell vectors:
La 0.0000 0.0000 0.0000
Os 0.0000 0.0000 0.5000
Ru 0.5000 0.5000 0.0000
Rh 0.0000 0.5000 0.5000
Rh 0.5000 0.0000 0.5000

Properties
The calculated volume is 23.9 Å³/atom. For the formation energy, the calculation gives 1.19 eV/atom. As for the symmetry: P4/mmm, No. 123.